## a
BeCr2I GGA-PBE optimized geometry; density of states at the Fermi level = 4.13 states/eV/cell
1.0
0.0000 3.0088 3.0088
3.0088 0.0000 3.0088
3.0088 3.0088 0.0000
Be I Cr
1 1 2
Direct
0.0000 0.0000 0.0000 Be
0.5000 0.5000 0.5000 I
0.2500 0.2500 0.2500 Cr
0.7500 0.7500 0.7500 Cr

---

## b
BeCr2I GGA-PBE optimized geometry; density of states at the Fermi level = 4.73 states/eV/cell
1.0
-1.5925 0.9463 -3.3003
1.3687 -3.1615 -1.5669
-7.1883 -5.2716 -0.2131
Cr Be I
4 2 2
Direct
0.8750 0.7920 0.7500 Cr
0.2080 0.6250 0.2500 Cr
0.5420 0.1250 0.2500 Cr
0.3750 0.4580 0.7500 Cr
0.5000 0.5000 0.0000 Be
0.2500 0.7500 0.5000 Be
0.7500 0.2500 0.5000 I
0.0000 0.0000 0.0000 I

---

It is b that is the least stable of them.

---

## a
Be2CrI2 GGA-PBE optimized geometry; density of states at the Fermi level = 13.72 states/eV/cell
1.0
7.2523 0.0000 0.0000
0.0000 7.2523 0.0000
0.0000 0.0000 3.5757
Be I Cr
4 4 2
Direct
0.1778 0.6778 0.5000 Be
0.6778 0.8222 0.5000 Be
0.3222 0.1778 0.5000 Be
0.8222 0.3222 0.5000 Be
0.8360 0.6640 0.0000 I
0.3360 0.8360 0.0000 I
0.1640 0.3360 0.0000 I
0.6640 0.1640 0.0000 I
0.0000 0.0000 0.0000 Cr
0.5000 0.5000 0.0000 Cr

---

## b
Be2CrI2 GGA-PBE optimized geometry; density of states at the Fermi level = 6.76 states/eV/cell
1.0
-0.0050 -2.9128 -1.4323
2.7471 -0.7667 1.5496
-3.7834 -5.4464 7.4115
Be I Cr
2 2 1
Direct
0.2500 0.7500 0.5000 Be
0.7500 0.2500 0.5000 Be
0.5861 0.5861 0.8278 I
0.4139 0.4139 0.1722 I
0.0000 0.0000 0.0000 Cr

---

It is a that is the least stable of them.

---

## a
BeCrI2N GGA-PBE optimized geometry; density of states at the Fermi level = 2.89 states/eV/cell
1.0
5.5158 0.0000 0.0000
0.0000 5.5158 0.0000
0.0000 0.0000 3.6292
N I Cr Be
1 2 1 1
Direct
0.0000 0.0000 0.5000 N
0.5000 0.0000 0.0000 I
0.0000 0.5000 0.0000 I
0.0000 0.0000 0.0000 Cr
0.5000 0.5000 0.5000 Be

---

## b
BeCrI2N GGA-PBE optimized geometry; density of states at the Fermi level = 6.51 states/eV/cell
1.0
5.3760 0.0000 0.0000
0.0000 5.3760 0.0000
0.0000 0.0000 3.2122
Cr Be N I
1 1 1 2
Direct
0.5000 0.5000 0.5000 Cr
0.0000 0.0000 0.0000 Be
0.0000 0.0000 0.5000 N
0.0000 0.5000 0.0000 I
0.5000 0.0000 0.0000 I

---

It is b that is the least stable of them.

---

## a
BeCrSbI2 GGA-PBE optimized geometry; density of states at the Fermi level = 2.32 states/eV/cell
1.0
-3.0192 -2.6323 -3.7151
2.8791 -4.5571 0.8891
-3.4108 -1.4181 3.7767
Cr Sb Be I
1 1 1 2
Direct
0.0000 0.0000 0.0000 Cr
0.0000 0.0000 0.5000 Sb
0.5000 0.5000 0.5000 Be
0.5000 0.0000 0.0000 I
0.0000 0.5000 0.0000 I

---

## b
BeCrSbI2 GGA-PBE optimized geometry; density of states at the Fermi level = 4.35 states/eV/cell
1.0
5.1548 0.0000 0.0000
0.0000 5.1548 0.0000
0.0000 0.0000 5.0067
Sb I Be Cr
1 2 1 1
Direct
0.0000 0.0000 0.5000 Sb
0.5000 0.0000 0.0000 I
0.0000 0.5000 0.0000 I
0.0000 0.0000 0.0000 Be
0.5000 0.5000 0.5000 Cr

---

It is b that is the least stable of them.

---

## a
BeCrTeI2 GGA-PBE optimized geometry; density of states at the Fermi level = 2.84 states/eV/cell
1.0
-1.9387 5.1733 0.8668
-1.7688 0.1550 -4.8814
-4.8875 -2.1171 1.7038
Be I Te Cr
1 2 1 1
Direct
0.5000 0.5000 0.5000 Be
0.5000 0.0000 0.0000 I
0.0000 0.0000 0.5000 I
0.0000 0.5000 0.0000 Te
0.0000 0.0000 0.0000 Cr

---

## b
BeCrTeI2 GGA-PBE optimized geometry; density of states at the Fermi level = 4.53 states/eV/cell
1.0
5.2474 0.0000 0.0000
0.0000 5.2474 0.0000
0.0000 0.0000 5.1423
Be Cr I Te
1 1 2 1
Direct
0.0000 0.0000 0.0000 Be
0.5000 0.5000 0.5000 Cr
0.0000 0.5000 0.0000 I
0.5000 0.0000 0.0000 I
0.0000 0.0000 0.5000 Te

---

It is a that is the least stable of them.

---

## a
BeCr2In GGA-PBE optimized geometry; density of states at the Fermi level = 1.73 states/eV/cell
1.0
3.1796 0.0000 0.0000
0.0000 4.0329 0.0000
0.0000 0.0000 4.3383
In Cr Be
1 2 1
Direct
0.5000 0.0000 0.5000 In
0.0000 0.0000 0.0000 Cr
0.5000 0.5000 0.0000 Cr
0.0000 0.5000 0.5000 Be

---

## b
BeCr2In GGA-PBE optimized geometry; density of states at the Fermi level = 2.49 states/eV/cell
1.0
4.3248 0.0114 0.0000
-0.0097 4.3248 0.0000
0.0000 0.0000 3.2294
Be Cr In
1 2 1
Direct
0.0000 0.5000 0.5000 Be
0.5000 0.5000 0.0000 Cr
0.0000 0.0000 0.0000 Cr
0.5000 0.0000 0.5000 In

---

It is b that is the least stable of them.

---

## a
BeCrIn GGA-PBE optimized geometry; density of states at the Fermi level = 1.55 states/eV/cell
1.0
4.2216 0.0000 0.0000
-2.1108 3.6560 0.0000
0.0000 0.0000 2.9379
Cr In Be
1 1 1
Direct
0.6667 0.3333 0.3321 Cr
0.3333 0.6667 0.8317 In
0.0000 0.0000 0.8362 Be

---

## b
BeCrIn GGA-PBE optimized geometry; density of states at the Fermi level = 1.20 states/eV/cell
1.0
-1.6321 -3.3782 -1.6495
2.4396 -2.9639 -1.4352
0.2598 -3.5786 1.9805
In Cr Be
1 1 1
Direct
0.5000 0.5000 0.5000 In
0.0000 0.0000 0.0000 Cr
0.7500 0.7500 0.7500 Be

---

It is a that is the least stable of them.